Material: ReSb2
Method: DFT, GGA-PBE
State: optimized geometry

Values from the calculation:
The calculation puts the formation energy without anion corrections at 737 meV/atom. As for the space group: No. 63.

Cell and atoms, written as POSCAR:
```
ReSb2
1.0
1.7414 -6.8699 0.0000
1.7414 6.8699 0.0000
0.0000 0.0000 5.2510
Re Sb
2 4
Cartesian
1.7414 5.2282 3.9382
1.7414 -5.2282 1.3127
1.7414 3.7360 1.3127
1.7414 0.6695 3.9382
1.7414 -0.6695 1.3127
1.7414 -3.7360 3.9382
```



Material: ReSb
Method: DFT, GGA-PBE
State: optimized geometry

Values from the calculation:
The calculation puts the formation energy without anion corrections at 338 meV/atom. As for the space group: No. 164.

Cell and atoms, written as POSCAR:
```
ReSb
1.0
3.0669 0.0000 0.0000
-1.5334 2.6560 0.0000
0.0000 0.0000 10.2791
Re Sb
2 2
Cartesian
0.0000 1.7707 0.9813
1.5334 0.8853 9.2978
0.0000 1.7707 7.0555
1.5334 0.8853 3.2236
```



Material: ReSb2
Method: DFT, GGA-PBE
State: optimized geometry

Values from the calculation:
The calculation puts the formation energy without anion corrections at 372 meV/atom. As for the space group: No. 8.

Cell and atoms, written as POSCAR:
```
ReSb2
1.0
5.0464 -1.5977 0.0000
5.0464 1.5977 0.0000
-1.4696 0.0000 8.2046
Re Sb
2 4
Cartesian
0.0000 0.0000 0.0000
6.4152 0.0000 1.9335
0.8945 0.0000 4.1624
3.6902 0.0000 1.9213
3.4832 0.0000 5.7829
5.8721 0.0000 7.5643
```



Material: ReSb
Method: DFT, GGA-PBE
State: optimized geometry

Values from the calculation:
The calculation puts the formation energy without anion corrections at 504 meV/atom. As for the space group: No. 59.

Cell and atoms, written as POSCAR:
```
ReSb
1.0
3.0829 0.0000 0.0000
0.0000 16.0480 0.0000
0.0000 0.0000 4.5702
Re Sb
6 6
Cartesian
0.7707 1.8404 1.1307
0.7707 6.1836 1.1307
0.7707 12.0360 2.6731
2.3121 4.0120 1.8970
2.3121 9.8644 3.4395
2.3121 14.2076 3.4395
0.7707 4.0120 4.1008
0.7707 9.0321 1.1564
0.7707 15.0399 1.1564
2.3121 1.0081 3.4138
2.3121 7.0159 3.4138
2.3121 12.0360 0.4694
```



Material: ReSb
Method: DFT, GGA-PBE
State: optimized geometry

Values from the calculation:
The calculation puts the formation energy without anion corrections at 679 meV/atom. As for the space group: No. 176.

Cell and atoms, written as POSCAR:
```
ReSb
1.0
11.0259 0.0000 0.0000
-5.5130 9.5487 0.0000
0.0000 0.0000 3.3467
Re Sb
6 6
Cartesian
-2.8789 5.6990 0.8367
2.0170 4.2060 0.8367
4.6510 0.3562 2.5100
0.8619 9.1925 0.8367
3.4960 5.3427 2.5100
8.3919 3.8498 2.5100
-0.5764 3.7671 0.8367
-1.9624 8.1644 0.8367
2.9742 2.3827 2.5100
2.5388 7.1660 0.8367
7.4754 1.3844 2.5100
6.0894 5.7817 2.5100
```



Material: ReSb
Method: DFT, GGA-PBE
State: optimized geometry

Values from the calculation:
The calculation puts the formation energy without anion corrections at 752 meV/atom. As for the space group: No. 87.

Cell and atoms, written as POSCAR:
```
ReSb
1.0
-5.3579 5.3579 2.0539
5.3579 -5.3579 2.0539
5.3579 5.3579 -2.0539
Re Sb
4 4
Cartesian
7.6300 2.1559 0.0000
2.1559 3.0858 0.0000
3.2020 2.2721 2.0539
-2.2721 3.2020 2.0539
3.0608 0.4328 0.0000
4.9251 -2.2971 2.0539
0.4328 7.6549 0.0000
2.2971 4.9251 2.0539
```